Ho4TmIn3 | GGA-PBE | optimized geometry

Properties
The value obtained for the uncorrected energy is -4.19 eV/atom. As for the total magnetization: 1.7 Bohr magnetons per cell. For the energy above the most stable polymorph in this dataset, the calculation gives 0.000 eV/atom. As for the crystal system: trigonal. For the formation enthalpy at 0 K, the calculation gives -30.22 kJ per mole of atoms.

Cell lengths 5.3272, 5.3272, 26.9650 Å; angles 90.00, 90.00, 120.00 degrees
Space group R-3m (No. 166, hexagonal axes)
One atom of each set of equivalent atoms:
Ho: 0.0000 0.0000 0.1151 x6
Ho: 0.0000 0.0000 0.3707 x6
Tm: 0.0000 0.0000 0.5000 x3
In: 0.0000 0.0000 0.0000 x3
In: 0.0000 0.0000 0.2372 x6